Entry from Alexandria: InW3F after structural relaxation (GGA+U).

Output
As for the energy above the most stable polymorph in this dataset: 0.802 eV/atom.

abc: 5.6339 5.6339 5.6339
angles: 90.00 90.00 90.00
Atoms (fractional coordinates):
In: 0.0000 0.0000 0.0000
W: 0.0000 0.0000 0.5000
W: 0.0000 0.5000 0.0000
W: 0.5000 0.0000 0.0000
F: 0.5000 0.5000 0.5000